The following is a DFT calculation (PBE) of a relaxed structure of Ba3AsRu.

Cell lengths 5.6848, 5.6848, 5.6848 Å; angles 90.00, 90.00, 90.00 degrees
Fractional positions:
As1 0.5000 0.5000 0.5000
Ba1 0.0000 0.5000 0.0000
Ba2 0.0000 0.0000 0.5000
Ru1 0.0000 0.0000 0.0000
Ba3 0.5000 0.0000 0.0000

Values from the calculation:
Offset from the most stable computed form in eV per atom: 0.000
DFT formation energy in meV/atom: -76
E_tot in eV/cell: -20.07

The following is a DFT calculation (PBE) of a relaxed structure of Ba2AsRu.

Cell lengths 7.5399, 7.5399, 7.5399 Å; angles 147.62, 143.11, 49.88 degrees
Fractional positions:
Ru1 0.4169 0.4169 0.0000
As1 0.3294 0.8294 0.5000
Ba1 0.0046 0.0046 0.0000
Ba2 0.7491 0.2491 0.5000

Values from the calculation:
DFT formation energy in meV/atom: -270
E_tot in eV/cell: -18.85

The following is a DFT calculation (PBE) of a relaxed structure of Ba2AsRu.

Cell lengths 5.1707, 5.1708, 4.3839 Å; angles 89.97, 89.97, 90.09 degrees
Site moments in Bohr magnetons follow the coordinates.
Fractional positions:
Ba1 0.0000 0.0000 0.0000  -0.03
As1 0.0000 0.5000 0.5000  0.01
Ba2 0.5000 0.5000 0.0000  -0.03
Ru1 0.5000 0.0000 0.5000  1.13

Values from the calculation:
DFT formation energy in meV/atom: 97
E_tot in eV/cell: -17.38

The following is a DFT calculation (PBE) of a relaxed structure of BaAsRu2.

Cell lengths 5.1044, 5.1044, 5.1044 Å; angles 126.86, 126.86, 78.48 degrees
Site moments in Bohr magnetons follow the coordinates.
Fractional positions:
Ba1 0.7500 0.2500 0.5000  0.01
Ru1 0.0000 0.0000 0.0000  1.33
Ru2 0.2500 0.7500 0.5000  0.87
As1 0.5000 0.5000 0.0000  -0.02

Values from the calculation:
DFT formation energy in meV/atom: 796
E_tot in eV/cell: -21.94

The following is a DFT calculation (PBE) of a relaxed structure of Ba2AsRu2.

Cell lengths 6.2580, 6.2580, 5.7202 Å; angles 56.84, 56.84, 90.00 degrees
Fractional positions:
Ba1 0.2500 0.7500 0.5000
Ba2 0.7500 0.2500 0.5000
Ru1 0.3346 0.3346 0.3308
Ru2 0.6654 0.6654 0.6692
As1 0.0000 0.0000 0.0000

Values from the calculation:
Offset from the most stable computed form in eV per atom: 0.214
DFT formation energy in meV/atom: 316
E_tot in eV/cell: -25.47

The following is a DFT calculation (PBE) of a relaxed structure of BaAsRu2.

Cell lengths 4.3777, 4.3777, 6.3360 Å; angles 69.79, 69.79, 60.00 degrees
Site moments in Bohr magnetons follow the coordinates.
Fractional positions:
Ba1 0.2500 0.2500 0.2500  -0.01
As1 0.7500 0.7500 0.7500  0.01
Ru1 0.4366 0.4366 0.6902  0.80
Ru2 0.0634 0.0634 0.8098  0.80

Values from the calculation:
DFT formation energy in meV/atom: -81
E_tot in eV/cell: -25.45

The following is a DFT calculation (PBE) of a relaxed structure of Ba2AsRu.

Cell lengths 8.5177, 8.5177, 8.5177 Å; angles 30.79, 30.79, 30.79 degrees
Site moments in Bohr magnetons follow the coordinates.
Fractional positions:
Ba1 0.4972 0.4972 0.4972  0.02
Ba2 0.0028 0.0028 0.0028  0.02
As1 0.7500 0.7500 0.7500  0.24
Ru1 0.2500 0.2500 0.2500  1.96

Values from the calculation:
DFT formation energy in meV/atom: 309
E_tot in eV/cell: -16.54

The following is a DFT calculation (PBE) of a relaxed structure of BaAsRu3.

Cell lengths 4.7140, 4.7140, 4.7140 Å; angles 90.00, 90.00, 90.00 degrees
Fractional positions:
As1 0.0000 0.0000 0.0000
Ru1 0.0000 0.0000 0.5000
Ba1 0.5000 0.5000 0.5000
Ru2 0.5000 0.0000 0.0000
Ru3 0.0000 0.5000 0.0000

Values from the calculation:
Offset from the most stable computed form in eV per atom: 0.000
DFT formation energy in meV/atom: 536
E_tot in eV/cell: -31.72

The following is a DFT calculation (PBE) of a relaxed structure of BaAsRu3.

Cell lengths 5.0083, 5.0083, 5.0083 Å; angles 90.00, 90.00, 90.00 degrees
Site moments in Bohr magnetons follow the coordinates.
Fractional positions:
As1 0.5000 0.5000 0.5000  -0.06
Ru1 0.0000 0.5000 0.0000  1.30
Ru2 0.0000 0.0000 0.5000  1.01
Ba1 0.0000 0.0000 0.0000  -0.05
Ru3 0.5000 0.0000 0.0000  1.03

Values from the calculation:
Offset from the most stable computed form in eV per atom: 2.140
DFT formation energy in meV/atom: 2675
E_tot in eV/cell: -21.02

The following is a DFT calculation (PBE) of a relaxed structure of BaAsRu.

Cell lengths 6.3974, 6.3974, 6.3974 Å; angles 149.13, 149.13, 44.22 degrees
Site moments in Bohr magnetons follow the coordinates.
Fractional positions:
Ru1 0.3758 0.3758 0.0000  0.34
Ba1 0.6691 0.6691 0.0000  -0.01
As1 0.9551 0.9551 0.0000  0.00

Values from the calculation:
DFT formation energy in meV/atom: -174
E_tot in eV/cell: -16.37

The following is a DFT calculation (PBE) of a relaxed structure of BaTcAs2Ru.

Cell lengths 4.2124, 4.2124, 6.8840 Å; angles 107.82, 107.82, 90.00 degrees
Fractional positions:
Ru1 0.2500 0.7500 0.5000
As1 0.3521 0.3521 0.7042
As2 0.6479 0.6479 0.2958
Ba1 0.0000 0.0000 0.0000
Tc1 0.7500 0.2500 0.5000

Values from the calculation:
DFT formation energy in meV/atom: -593
E_tot in eV/cell: -33.83

The following is a DFT calculation (PBE) of a relaxed structure of BaTe2AsRu.

Cell lengths 5.0795, 6.0566, 5.0795 Å; angles 90.00, 90.00, 90.00 degrees
Fractional positions:
Te1 0.0000 0.0000 0.5000
As1 0.5000 0.5000 0.5000
Ba1 0.0000 0.5000 0.0000
Te2 0.5000 0.0000 0.0000
Ru1 0.0000 0.0000 0.0000

Values from the calculation:
Uncorrected formation energy in eV/atom: 0.0638
E_tot in eV/cell: -21.81

The following is a DFT calculation (PBE) of a relaxed structure of BaVAs2Ru.

Cell lengths 4.9438, 4.6041, 4.9438 Å; angles 90.00, 90.00, 90.00 degrees
Fractional positions:
V1 0.0000 0.0000 0.0000
Ba1 0.5000 0.5000 0.5000
As1 0.5000 0.0000 0.0000
Ru1 0.0000 0.5000 0.0000
As2 0.0000 0.0000 0.5000

Values from the calculation:
DFT formation energy in meV/atom: 30
E_tot in eV/cell: -29.47

The following is a DFT calculation (PBE) of a relaxed structure of BaZn2AsRu.

Cell lengths 4.9449, 4.9449, 4.7598 Å; angles 90.00, 90.00, 90.00 degrees
Fractional positions:
Ru1 0.0000 0.0000 0.0000
As1 0.0000 0.0000 0.5000
Ba1 0.5000 0.5000 0.5000
Zn1 0.0000 0.5000 0.0000
Zn2 0.5000 0.0000 0.0000

Values from the calculation:
DFT formation energy in meV/atom: -334
E_tot in eV/cell: -20.06

The following is a DFT calculation (PBE) of a relaxed structure of BaZr2AsRu.

Cell lengths 4.9660, 6.0378, 4.9660 Å; angles 90.00, 90.00, 90.00 degrees
Fractional positions:
Zr1 0.5000 0.0000 0.0000
Ba1 0.0000 0.5000 0.0000
Ru1 0.0000 0.0000 0.0000
Zr2 0.0000 0.0000 0.5000
As1 0.5000 0.5000 0.5000

Values from the calculation:
DFT formation energy in meV/atom: 287
E_tot in eV/cell: -31.51

The following is a DFT calculation (PBE) of a relaxed structure of Ba2AsS.

Cell lengths 5.6189, 5.6189, 5.6189 Å; angles 60.00, 60.00, 60.00 degrees
Site moments in Bohr magnetons follow the coordinates.
Fractional positions:
Ba1 0.7500 0.7500 0.7500  0.02
Ba2 0.2500 0.2500 0.2500  0.02
As1 0.5000 0.5000 0.5000  0.29
S1 0.0000 0.0000 0.0000  0.17

Values from the calculation:
Offset from the most stable computed form in eV per atom: 0.000
Uncorrected formation energy in eV/atom: -1.1908
E_tot in eV/cell: -17.39

The following is a DFT calculation (PBE) of a relaxed structure of Ba3AsS.

Cell lengths 4.5139, 9.5338, 9.6592 Å; angles 76.00, 90.00, 90.00 degrees
Fractional positions:
S1 0.1834 0.2624 0.8746
As1 0.1834 0.7524 0.9263
S2 0.6834 0.5980 0.5318
As2 0.6834 0.1080 0.4801
Ba1 0.1834 0.3524 0.5373
Ba2 0.6834 0.6962 0.1916
Ba3 0.6834 0.5080 0.8690
Ba4 0.1834 0.1642 0.2148
Ba5 0.1834 0.8351 0.5601
Ba6 0.6834 0.0253 0.8463

Values from the calculation:
Offset from the most stable computed form in eV per atom: 0.000
Uncorrected formation energy in eV/atom: -1.3169
E_tot in eV/cell: -42.26

The following is a DFT calculation (PBE) of a relaxed structure of Ba4As2S.

Cell lengths 5.8016, 5.8016, 9.6002 Å; angles 72.41, 72.41, 90.00 degrees
Fractional positions:
Ba1 0.0000 0.5000 0.0000
Ba2 0.1865 0.1865 0.6271
Ba3 0.8135 0.8135 0.3729
As1 0.3708 0.3708 0.2583
Ba4 0.5000 0.0000 0.0000
S1 0.0000 0.0000 0.0000
As2 0.6292 0.6292 0.7417

Values from the calculation:
Offset from the most stable computed form in eV per atom: 0.164
Uncorrected formation energy in eV/atom: -1.1287
E_tot in eV/cell: -29.02

The following is a DFT calculation (PBE) of a relaxed structure of Ba4As2S.

Cell lengths 9.6114, 9.6114, 9.6114 Å; angles 90.19, 119.89, 119.89 degrees
Fractional positions:
Ba1 0.2316 0.6153 0.3837
As1 0.7500 0.3750 0.6250
Ba2 0.7684 0.1521 0.3837
Ba3 0.2684 0.1337 0.4021
S1 0.5000 0.7500 0.2500
As2 0.2500 0.3750 0.6250
As3 0.2500 0.8750 0.6250
Ba4 0.2316 0.6163 0.8479
S2 0.0000 0.0000 0.0000
Ba5 0.2684 0.1347 0.8663
Ba6 0.7316 0.5979 0.8663
Ba7 0.7316 0.1337 0.8653
Ba8 0.7684 0.6163 0.3847
As4 0.7500 0.3750 0.1250

Values from the calculation:
Offset from the most stable computed form in eV per atom: 0.000
Uncorrected formation energy in eV/atom: -1.2924
E_tot in eV/cell: -60.33

The following is a DFT calculation (PBE) of a relaxed structure of BaAsS2.

Cell lengths 5.6788, 9.9513, 8.2760 Å; angles 90.00, 90.00, 94.82 degrees
Fractional positions:
S1 0.3954 0.7517 0.3582
S2 0.6046 0.2483 0.6418
As1 0.5199 0.5218 0.8447
As2 0.4801 0.4782 0.1553
Ba1 0.1111 0.7648 0.0258
S3 0.1269 0.0022 0.7239
Ba2 0.1111 0.2648 0.4742
Ba3 0.8889 0.7352 0.5258
S4 0.1269 0.5022 0.7761
S5 0.8731 0.4978 0.2239
Ba4 0.8889 0.2352 0.9742
S6 0.6046 0.7483 0.8582
As3 0.5199 0.0218 0.6553
S7 0.8731 0.9978 0.2761
S8 0.3954 0.2517 0.1418
As4 0.4801 0.9782 0.3447

Values from the calculation:
Uncorrected formation energy in eV/atom: -1.1436
E_tot in eV/cell: -77.61

The following is a DFT calculation (PBE) of a relaxed structure of BaAsS2.

Cell lengths 5.9582, 5.9582, 8.4677 Å; angles 69.40, 69.40, 90.00 degrees
Fractional positions:
As1 0.2500 0.7500 0.5000
Ba1 0.7500 0.2500 0.5000
S1 0.3750 0.4581 0.7500
S2 0.2081 0.6250 0.2500
S3 0.5419 0.1250 0.2500
S4 0.8750 0.7919 0.7500
Ba2 0.0000 0.0000 0.0000
As2 0.5000 0.5000 0.0000

Values from the calculation:
Uncorrected formation energy in eV/atom: -0.7105
E_tot in eV/cell: -35.34

The following is a DFT calculation (PBE) of a relaxed structure of Ba3AsS.

Cell lengths 5.9308, 5.9308, 5.9308 Å; angles 90.00, 90.00, 90.00 degrees
Fractional positions:
S1 0.0000 0.0000 0.0000
As1 0.5000 0.5000 0.5000
Ba1 0.0000 0.5000 0.0000
Ba2 0.5000 0.0000 0.0000
Ba3 0.0000 0.0000 0.5000

Values from the calculation:
Offset from the most stable computed form in eV per atom: 0.353
Uncorrected formation energy in eV/atom: -0.9634
E_tot in eV/cell: -19.36

The following is a DFT calculation (PBE) of a relaxed structure of Ba4AsS2.

Cell lengths 4.6088, 7.8113, 15.2653 Å; angles 90.00, 90.00, 107.16 degrees
Site moments in Bohr magnetons follow the coordinates.
Fractional positions:
S1 0.8661 0.7323 0.5593  0.00
As1 0.6148 0.2295 0.7500  -0.01
As2 0.3852 0.7705 0.2500  -0.01
Ba1 0.9553 0.9106 0.7500  0.08
Ba2 0.5000 0.0000 0.0000  0.04
Ba3 0.5000 0.0000 0.5000  0.04
S2 0.1339 0.2677 0.0593  0.00
Ba4 0.2261 0.4523 0.6237  0.06
Ba5 0.0447 0.0894 0.2500  0.08
Ba6 0.2261 0.4523 0.8763  0.06
Ba7 0.7739 0.5477 0.1237  0.06
S3 0.1339 0.2677 0.4407  0.00
S4 0.8661 0.7323 0.9407  0.00
Ba8 0.7739 0.5477 0.3763  0.06

Values from the calculation:
Uncorrected formation energy in eV/atom: -1.5230
E_tot in eV/cell: -62.51

The following is a DFT calculation (PBE) of a relaxed structure of Ba5AsS8.

Cell lengths 8.4756, 8.4756, 8.4756 Å; angles 114.72, 99.41, 114.72 degrees
Site moments in Bohr magnetons follow the coordinates.
Fractional positions:
S1 0.7030 0.1987 0.3032  0.08
S2 0.6968 0.3997 0.8954  0.08
Ba1 0.5000 0.0000 0.5000  0.00
S3 0.1159 0.6645 0.8829  0.06
Ba2 0.3954 0.1379 0.9803  0.01
S4 0.5486 0.7670 0.8841  0.06
S5 0.2184 0.3355 0.4514  0.06
S6 0.1171 0.2330 0.7816  0.06
S7 0.4957 0.6003 0.2970  0.08
As1 0.2500 0.5000 0.7500  0.00
Ba3 0.0197 0.4151 0.1576  0.01
S8 0.1046 0.8013 0.5043  0.08
Ba4 0.7425 0.5849 0.6046  0.01
Ba5 0.8424 0.8621 0.2575  0.01

Values from the calculation:
Uncorrected formation energy in eV/atom: -1.2668
E_tot in eV/cell: -65.02

The following is a DFT calculation (PBE) of a relaxed structure of Ba2AsS.

Cell lengths 8.3105, 8.3105, 7.4830 Å; angles 56.27, 56.27, 90.00 degrees
Site moments in Bohr magnetons follow the coordinates.
Fractional positions:
S1 0.5000 0.5000 0.0000  0.04
As1 0.0000 0.0000 0.0000  0.37
Ba1 0.1468 0.6250 0.2500  0.02
Ba2 0.8750 0.8532 0.7500  0.02
S2 0.2500 0.7500 0.5000  0.04
Ba3 0.6032 0.1250 0.2500  0.02
Ba4 0.3750 0.3968 0.7500  0.02
As2 0.7500 0.2500 0.5000  0.36

Values from the calculation:
Offset from the most stable computed form in eV per atom: 0.012
Uncorrected formation energy in eV/atom: -1.1791
E_tot in eV/cell: -34.68

The following is a DFT calculation (PBE) of a relaxed structure of BaAsS2.

Cell lengths 6.3639, 5.9909, 6.8682 Å; angles 89.54, 62.53, 90.06 degrees
Fractional positions:
S1 0.4491 0.6951 0.1844
Ba1 0.8403 0.6891 0.6795
As1 0.2051 0.1493 0.0091
S2 0.3480 0.6931 0.6794
Ba2 0.4888 0.1970 0.3838
S3 0.9962 0.1910 0.3843
As2 0.1841 0.7332 0.0546
S4 0.5993 0.1904 0.8778

Values from the calculation:
Uncorrected formation energy in eV/atom: -1.0990
E_tot in eV/cell: -38.45